[1]
The following is a DFT calculation (GGA-PBE) of a relaxed structure of Ti3NbAs.

Values from the calculation:
- DOS at the Fermi energy (states/eV/f.u.) = 6.0
- ΔH_f (0 K) (eV/f.u.) = -1.92
- crystal system = orthorhombic
- energy (Ry per atom) = -0.5927
- ΔE to the lowest computed polymorph (meV per atom) = 0.0
- magnetic moment (μB/f.u.) = 0.0

Cell lengths 8.710, 3.371, 11.523 Å; angles 90.00, 90.00, 90.00 degrees
Space group Pnma (No. 62)
Unique sites:
1 Ti 0.062 0.250 0.085 x4
2 Ti 0.072 0.750 0.285 x4
3 Ti 0.173 0.750 0.696 x4
4 Nb 0.150 0.250 0.489 x4
5 As 0.156 0.250 0.871 x4

***

[2]
The following is a DFT calculation (GGA-PBE) of a relaxed structure of Zr2SiAu2.

Values from the calculation:
- DOS at the Fermi energy (states/eV/f.u.) = 1.9
- crystal system = tetragonal
- energy (Ry per atom) = -0.4548
- ΔE to the lowest computed polymorph (meV per atom) = 0.0
- magnetic moment (μB/f.u.) = 0.0
- formation energy (no corrections) (eV per atom) = -0.3729

Cell lengths 6.787, 6.787, 4.256 Å; angles 90.00, 90.00, 90.00 degrees
Space group P4/mbm (No. 127)
Unique sites:
1 Zr 0.167 0.333 0.000 x4
2 Si 0.000 0.000 0.500 x2
3 Au 0.142 0.642 0.500 x4

***

[3]
The following is a DFT calculation (GGA-PBE) of a relaxed structure of ScIn2Rh.

Values from the calculation:
- DOS at the Fermi energy (states/eV/f.u.) = 2.1
- ΔH_f (0 K) (eV/f.u.) = -1.36
- crystal system = monoclinic
- energy (Ry per atom) = -0.3771
- magnetic moment (μB/f.u.) = 0.0

Cell lengths 3.204, 4.649, 5.557 Å; angles 90.00, 102.68, 90.00 degrees
Space group P2/m (No. 10)
Unique sites:
1 Sc 0.000 0.000 0.000 x1
2 In 0.354 0.500 0.736 x2
3 Rh 0.500 0.000 0.500 x1

***

[4]
The following is a DFT calculation (GGA-PBE) of a relaxed structure of Fe3Cu4.

Values from the calculation:
- DOS at the Fermi energy (states/eV/f.u.) = 6.5
- ΔH_f (0 K) (eV/f.u.) = 1.71
- crystal system = hexagonal
- energy (Ry per atom) = -0.4207
- ΔE to the lowest computed polymorph (meV per atom) = 91.0
- magnetic moment (μB/f.u.) = 7.8

Cell lengths 4.6550, 4.6550, 4.6312 Å; angles 90.00, 90.00, 120.00 degrees
Space group P6/mmm (No. 191)
Unique sites:
1 Fe 0.0000 0.5000 0.0000 x3
2 Cu 0.0000 0.0000 0.2543 x2
3 Cu 0.3333 0.6667 0.5000 x2

***

[5]
The following is a DFT calculation (GGA-PBE) of a relaxed structure of Dy4HgSb.

Values from the calculation:
- DOS at the Fermi energy (states/eV/f.u.) = 8.0
- crystal system = orthorhombic
- energy (Ry per atom) = -0.3184
- ΔE to the lowest computed polymorph (meV per atom) = 0.0
- magnetic moment (μB/f.u.) = 0.4
- formation energy (no corrections) (eV per atom) = -0.5264

Cell lengths 8.453, 4.053, 19.794 Å; angles 90.00, 90.00, 90.00 degrees
Space group Pnma (No. 62)
Unique sites:
1 Dy 0.018 0.250 0.217 x4
2 Dy 0.027 0.250 0.927 x4
3 Dy 0.126 0.250 0.434 x4
4 Dy 0.155 0.250 0.659 x4
5 Hg 0.245 0.750 0.549 x4
6 Sb 0.219 0.750 0.311 x4

***

[6]
The following is a DFT calculation (GGA-PBE) of a relaxed structure of Pm4Nd2Ge3O2.

Values from the calculation:
- DOS at the Fermi energy (states/eV/f.u.) = 6.8
- crystal system = tetragonal
- energy (Ry per atom) = -0.4600
- magnetic moment (μB/f.u.) = 0.0
- formation energy (no corrections) (eV per atom) = -1.5032

Cell lengths 4.690, 4.690, 24.612 Å; angles 90.00, 90.00, 90.00 degrees
Space group I4/mmm (No. 139)
Unique sites:
1 Pm 0.000 0.500 0.080 x8
2 Nd 0.000 0.000 0.198 x4
3 Ge 0.000 0.000 0.325 x4
4 Ge 0.000 0.000 0.500 x2
5 O 0.000 0.000 0.100 x4

***

[7]
The following is a DFT calculation (GGA-PBE) of a relaxed structure of V2CrSnTe.

Values from the calculation:
- DOS at the Fermi energy (states/eV/f.u.) = 7.0
- crystal system = tetragonal
- energy (Ry per atom) = -0.4402
- magnetic moment (μB/f.u.) = 1.4
- formation energy (no corrections) (eV per atom) = 1.0113

Cell lengths 5.003, 5.003, 4.989 Å; angles 90.00, 90.00, 90.00 degrees
Space group P4/mmm (No. 123)
Unique sites:
1 V 0.000 0.500 0.000 x2
2 Cr 0.000 0.000 0.500 x1
3 Sn 0.500 0.500 0.500 x1
4 Te 0.000 0.000 0.000 x1

***

> energy of number 4 (Fe3Cu4)?

-0.4207 Ry per atom

***

> Among the records above, which one has the lowest DOS at the Fermi energy?

Zr2SiAu2